Compound: RbLiSmTe3
Source: OQMD
Functional: PBE
Structure: relaxed

ΔE to the lowest computed polymorph (meV per atom): 16
Total DFT energy (no corrections) (eV per atom): -3.899
Theoretical density (g/cm3): 5.177

a = 11.9043 Å, b = 4.8279 Å, c = 13.9652 Å
α = 90.00°, β = 90.00°, γ = 90.00°
Element x y z (fractional)
Te (0.8881, 0.2500, 0.0509)
Li (0.2217, 0.7500, 0.7825)
Te (0.7182, 0.2500, 0.7976)
Te (0.3881, 0.2500, 0.4491)
Te (0.1119, 0.7500, 0.9491)
Sm (0.9887, 0.2500, 0.8399)
Li (0.7783, 0.2500, 0.2175)
Te (0.7818, 0.7500, 0.2976)
Li (0.2783, 0.2500, 0.2825)
Sm (0.4887, 0.2500, 0.6601)
Rb (0.8342, 0.2500, 0.5119)
Sm (0.0113, 0.7500, 0.1601)
Sm (0.5113, 0.7500, 0.3399)
Te (0.9594, 0.7500, 0.6915)
Te (0.6119, 0.7500, 0.5509)
Rb (0.1658, 0.7500, 0.4881)
Te (0.4594, 0.7500, 0.8085)
Te (0.2818, 0.7500, 0.2024)
Te (0.5406, 0.2500, 0.1915)
Te (0.2182, 0.2500, 0.7024)
Rb (0.6658, 0.7500, 0.0119)
Li (0.7217, 0.7500, 0.7175)
Te (0.0406, 0.2500, 0.3085)
Rb (0.3342, 0.2500, 0.9881)